# 1
Below is an optimized crystal structure of CuSiCl2, with properties calculated at the PBE-GGA level.

```
CuSiCl2
1.0
-3.9676 -1.4661 3.9734
3.8453 -1.3857 4.1198
-2.5965 4.1398 -3.1305
Cl Cu Si
2 1 1
Cartesian
-0.0082 -0.1908 0.5416 Cl
-3.3031 0.8469 1.8121 Cl
-0.0585 -1.3645 3.8723 Cu
0.5898 0.5705 2.7834 Si
```

Calculated values
* offset from the most stable computed form: 244.7 meV/atom
* space group: Imm2
* raw formation energy: -0.3 eV per formula unit

# 2
Below is an optimized crystal structure of NaThTeO6, with properties calculated at the PBE-GGA level.

```
NaThTeO6
1.0
-3.9520 -3.1784 -0.9441
0.9815 0.2817 -5.0566
6.2567 -8.0077 0.7683
Na Th Te O
2 2 2 12
Cartesian
-0.4612 -2.7589 -2.8746 Na
4.1524 -5.3144 0.5099 Na
1.6139 -5.4149 -2.6198 Th
6.2275 -7.9704 0.7647 Th
3.7304 -8.1237 -2.3599 Te
2.0873 -2.6715 0.2563 Te
3.0004 -4.1302 -3.9263 O
-0.0878 -6.2961 -1.3520 O
5.1402 -8.6753 -1.1328 O
4.0292 -9.7587 -3.3771 O
1.3022 -1.8566 -4.1831 O
-1.8871 -4.0933 -1.5246 O
3.3610 -6.4668 -1.4090 O
2.3108 -7.4909 -3.5305 O
2.4748 -9.1195 -1.2576 O
5.1023 -7.2767 -3.4479 O
-0.0340 -4.8712 -4.1393 O
1.3544 -3.5173 -1.3345 O
```

Calculated values
* space group: P4_2nm
* raw formation energy: -17.1 eV per formula unit

# 3
Below is an optimized crystal structure of ReSi2Os, with properties calculated at the PBE-GGA level.

```
ReSi2Os
1.0
4.2534 0.0111 0.0097
3.3349 2.6400 0.0097
0.9792 0.3421 4.8985
Os Re Si
1 1 2
Cartesian
6.4256 2.2448 3.6884 Os
2.1419 0.7483 1.2295 Re
0.9855 0.3443 4.8389 Si
4.2774 1.4944 2.5185 Si
```

Calculated values
* space group: C2/m
* raw formation energy: -0.3 eV per formula unit

# 4
Below is an optimized crystal structure of SrY2Cr, with properties calculated at the PBE-GGA level.

```
SrY2Cr
1.0
-8.8255 -5.4105 4.4056
-6.1046 -7.1940 6.1282
-7.3733 -4.0171 7.4880
Cr Sr Y
1 1 2
Cartesian
-11.0220 -8.2141 8.9061 Cr
-5.3487 -3.9861 4.3219 Sr
-0.1417 -0.1056 0.1145 Y
-16.9428 -12.6266 13.6902 Y
```

Calculated values
* offset from the most stable computed form: 246.1 meV/atom
* space group: R3m
* E_form: 201 kJ/mol of formula units

# 5
Below is an optimized crystal structure of Pm6YSn4, with properties calculated at the PBE-GGA level.

```
Pm6YSn4
1.0
-6.2976 -4.0562 3.4642
7.7916 -1.0276 2.5197
1.2139 8.0721 1.2168
Pm Y Sn
6 1 4
Cartesian
7.0424 3.2277 2.6936 Pm
4.9356 6.1422 2.2763 Pm
-2.7063 -1.5255 3.0079 Pm
-2.5419 2.0080 2.3405 Pm
2.4416 2.1887 2.9595 Pm
0.7470 -2.5419 2.9920 Pm
0.0000 0.0000 0.0000 Y
2.1063 4.9102 1.2006 Sn
-0.0828 0.4068 3.2592 Sn
5.1193 0.7420 1.7974 Sn
4.5705 3.9739 4.6801 Sn
```

Calculated values
* space group: I-42m
* E_form: -389 kJ/mol of formula units

# 6
Below is an optimized crystal structure of TiAl2Os, with properties calculated at the PBE-GGA level.

```
TiAl2Os
1.0
-1.8818 -2.2543 2.7567
-2.1029 -1.6313 -2.7695
2.6666 -2.7333 -0.4148
Os Al Ti
1 2 1
Cartesian
-0.9409 -1.1271 1.3784 Os
1.3333 -1.3666 -0.2074 Al
-1.0515 -0.8157 -1.3848 Al
-0.6591 -3.3094 -0.2138 Ti
```

Calculated values
* space group: P4/mmm
* E_form: -166 kJ/mol of formula units

# 7
Below is an optimized crystal structure of GdY2Os, with properties calculated at the PBE-GGA level.

```
GdY2Os
1.0
-1.5291 -0.2410 -3.0900
1.7018 -1.3927 -2.6663
-3.7746 -10.3176 0.7399
Y Gd Os
2 1 1
Cartesian
-2.5699 -7.2453 -0.0959 Y
-1.0321 -4.7060 -4.9205 Y
0.0000 0.0000 0.0000 Gd
-1.8010 -5.9756 -2.5082 Os
```

Calculated values
* offset from the most stable computed form: 378.8 meV/atom
* space group: R-3m
* E_form: 111 kJ/mol of formula units

# 8
Below is an optimized crystal structure of KHg3F7, with properties calculated at the PBE-GGA level.

```
KHg3F7
1.0
5.6979 -0.4083 -0.8361
-1.7720 5.9376 -1.4316
0.3797 -0.4083 5.7464
K Hg F
1 3 7
Cartesian
2.1528 2.5606 1.7393 K
1.6074 -0.4083 4.2268 Hg
-0.8860 2.9688 -0.7158 Hg
4.4701 -0.4083 0.6836 Hg
3.9339 3.7817 3.1784 F
4.1016 3.9129 0.2679 F
3.1820 1.2082 -0.4751 F
1.1236 3.9129 3.9538 F
3.0388 -0.4083 2.4552 F
0.2040 1.2082 3.2108 F
0.3717 1.3394 0.3003 F
```

Calculated values
* space group: C2/m
* raw formation energy: -18.4 eV per formula unit

We obtain E_tot values of -13.5; -117.5; -34.8; -22.1; -55.0; -28.3; -37.1; -33.5 eV for the cell shown for the records listed above, in that order.